# Tm3Mg4Tl2 | Alexandria | PBE | relaxed
# V	25.03	Å³/atom
# energy of formation from the pure elements	-0.1799	eV/atom
data_Tm3Mg4Tl2
_cell_length_a 11.052
_cell_length_b 5.023
_cell_length_c 9.461
_cell_angle_alpha 90.00
_cell_angle_beta 120.92
_cell_angle_gamma 90.00
_symmetry_space_group_name_H-M 'C 1 2/m 1'
_symmetry_Int_Tables_number 12
_symmetry_space_group_name_Hall '-C 2y'
loop_
_atom_site_label
_atom_site_type_symbol
_atom_site_fract_x
_atom_site_fract_y
_atom_site_fract_z
_atom_site_occupancy
Tm1 Tm 0.000 0.000 0.000 1
Tm2 Tm 0.165 0.500 0.670 1
Mg1 Mg 0.068 0.000 0.400 1
Mg2 Mg 0.213 0.500 0.045 1
Tl1 Tl 0.109 0.500 0.273 1